The following is a PBE+U calculation of Rb2SnWF6 after structural relaxation, from Alexandria.

Results
density of states at the Fermi level = 0.0 states/eV/f.u.
raw total energy = -4.787 eV/atom
size of the total moment = 4.0 μB per formula unit

a b c (Å): 7.129 7.129 7.129
angles (deg): 127.06 127.06 78.15
Atoms (fractional coordinates):
Rb: 0.250 0.750 0.500
Rb: 0.750 0.250 0.500
Sn: 0.000 0.000 0.000
W: 0.500 0.500 0.000
F: 0.264 0.264 0.529
F: 0.264 0.736 0.000
F: 0.309 0.309 0.000
F: 0.691 0.691 0.000
F: 0.736 0.264 0.000
F: 0.736 0.736 0.471